# 1
Entry from Alexandria: a relaxed structure of BaLi2LaNi (PBE).

```
5
Lattice="-2.410 -3.698 -3.012 4.069 -3.355 0.863 -2.345 -1.794 4.079" Properties=species:S:1:pos:R:3 pbc="T T T"
Li 2.034 -1.677 0.432
Li -1.205 -1.849 -1.506
Ba -0.343 -4.423 0.965
La -1.172 -0.897 2.040
Ni 0.000 0.000 0.000
```

**Total magnetization**: 0.00 μB per cell
**ΔE_f**: 0.3 eV/f.u.
**Fermi-level density of states**: 3.83 states/eV/f.u.

# 2
Entry from Alexandria: a relaxed structure of TaCu3Si (PBE).

```
5
Lattice="4.255 0.000 0.000 0.000 4.255 0.000 0.000 0.000 4.255" Properties=species:S:1:pos:R:3 pbc="T T T"
Si 0.000 0.000 0.000
Ta 2.128 2.128 2.128
Cu 0.000 0.000 2.128
Cu 2.128 0.000 0.000
Cu 0.000 2.128 0.000
```

**Total magnetization**: 0.00 μB per cell
**Fermi-level density of states**: 3.31 states/eV/f.u.
**Formation energy (no corrections)**: 0.729 eV per atom

# 3
Entry from Alexandria: a relaxed structure of Pr3NdEr3 (PBE).

```
14
Lattice="-3.553 -2.733 -6.982 1.313 -8.135 -0.966 -6.886 -4.302 1.706" Properties=species:S:1:pos:R:3 pbc="T T T"
Er -5.444 -12.419 -3.628
Er -3.682 -2.751 -2.614
Er -2.756 -4.503 0.291
Er -6.369 -10.667 -6.533
Er -8.444 -10.587 -3.695
Er -0.682 -4.583 -2.547
Pr -3.274 -9.039 -6.521
Pr -0.733 -8.079 -2.469
Pr -4.655 -4.474 -5.497
Pr -8.392 -7.091 -3.772
Pr -4.471 -10.696 -0.745
Pr -5.851 -6.131 0.279
Nd -3.730 -6.200 -2.551
Nd -5.396 -8.969 -3.691
```

**Total magnetization**: 0.00 μB per cell
**ΔE_f**: 0.9 eV/f.u.
**Fermi-level density of states**: 8.81 states/eV/f.u.

# 4
Entry from Alexandria: a relaxed structure of CdCoCl2 (PBE).

```
4
Lattice="-0.616 -1.979 -4.384 3.801 -0.576 -2.956 1.708 -4.445 -0.915" Properties=species:S:1:pos:R:3 pbc="T T T"
Cl 0.000 0.000 0.000
Cl 1.223 -1.750 -2.064
Co 3.670 -5.250 -6.191
Cd 2.447 -3.500 -4.127
```

**Total magnetization**: 1.77 μB per cell
**Fermi-level density of states**: 4.20 states/eV/f.u.
**Formation energy (no corrections)**: 0.431 eV per atom

# 5
Entry from Alexandria: a relaxed structure of KRe2PbO8 (PBE).

```
12
Lattice="6.361 0.000 0.000 3.180 5.601 0.533 3.180 2.630 6.699" Properties=species:S:1:pos:R:3 pbc="T T T"
O 4.633 0.852 1.743
O 10.994 7.379 5.489
O 3.180 3.440 1.985
O 9.541 4.791 5.247
O 6.361 4.581 6.261
O 1.728 0.852 1.743
O 6.361 3.650 0.971
O 8.088 7.379 5.489
Re 9.541 6.439 5.917
Re 3.180 1.792 1.315
K 6.361 4.116 3.616
Pb 0.000 0.000 0.000
```

**Total magnetization**: 0.00 μB per cell
**Fermi-level density of states**: 4.49 states/eV/f.u.
**Formation energy (no corrections)**: -1.603 eV per atom

# 6
Entry from Alexandria: a relaxed structure of Ho2TmScS4 (PBE).

```
8
Lattice="-2.365 -0.513 -2.930 5.136 0.216 -4.183 -0.999 -6.314 1.911" Properties=species:S:1:pos:R:3 pbc="T T T"
S 0.518 -4.729 0.410
S 1.951 -4.895 -3.182
S -0.178 -1.716 -2.020
S 3.620 -1.370 -2.682
Sc 0.000 0.000 0.000
Ho -1.682 -3.414 -0.509
Ho 2.069 -3.049 -1.136
Tm 1.386 -0.148 -3.557
```

**Total magnetization**: 0.00 μB per cell
**Fermi-level density of states**: 4.88 states/eV/f.u.
**Formation energy (no corrections)**: -1.928 eV per atom

# 7
Entry from Alexandria: a relaxed structure of Pm4Sm3Tl4 (PBE).

```
11
Lattice="-2.491 -2.640 -0.926 1.879 -4.632 8.152 -6.672 8.657 0.848" Properties=species:S:1:pos:R:3 pbc="T T T"
Sm -1.333 0.959 0.852
Sm 0.939 -2.316 4.076
Sm -5.952 0.425 7.222
Pm -2.918 -1.165 3.595
Pm -5.044 4.221 1.537
Pm -4.366 2.549 4.479
Pm -2.240 -2.837 6.537
Tl -2.855 0.413 6.501
Tl -4.430 0.971 1.573
Tl -0.831 -2.342 1.336
Tl 0.218 -4.930 5.890
```

**Total magnetization**: 0.00 μB per cell
**ΔE_f**: -2.7 eV/f.u.
**Fermi-level density of states**: 11.19 states/eV/f.u.

# 8
Entry from Alexandria: a relaxed structure of NbAsN2F (PBE).

```
5
Lattice="-3.743 0.670 -1.159 0.134 -3.068 -2.206 -1.332 -2.225 3.013" Properties=species:S:1:pos:R:3 pbc="T T T"
N -1.872 0.335 -0.580
N -0.666 -1.112 1.507
As 0.000 0.000 0.000
Nb -2.470 -2.311 -0.176
F 0.067 -1.534 -1.103
```

**Total magnetization**: 2.08 μB per cell
**Fermi-level density of states**: 2.97 states/eV/f.u.
**Formation energy (no corrections)**: 0.573 eV per atom

# 9
Entry from Alexandria: a relaxed structure of Zn2InTc (PBE).

```
4
Lattice="3.393 0.000 0.000 0.000 3.393 0.000 0.000 0.000 5.764" Properties=species:S:1:pos:R:3 pbc="T T T"
Tc 1.696 1.696 4.422
Zn 0.000 0.000 5.721
Zn 1.696 1.696 1.302
In 0.000 0.000 2.964
```

**Total magnetization**: 0.00 μB per cell
**ΔE_f**: 0.9 eV/f.u.
**Fermi-level density of states**: 3.48 states/eV/f.u.

# 10
Entry from Alexandria: a relaxed structure of Tm6ZnRh (PBE).

```
8
Lattice="-2.461 2.461 8.390 2.461 -2.461 8.390 2.461 2.461 -8.390" Properties=species:S:1:pos:R:3 pbc="T T T"
Tm 2.461 0.000 1.671
Tm 0.000 0.000 4.227
Tm 2.461 0.000 6.718
Tm 0.000 0.000 12.552
Tm 0.000 2.461 6.718
Tm 0.000 2.461 1.671
Zn 0.000 0.000 8.390
Rh 0.000 0.000 0.000
```

**Total magnetization**: 0.00 μB per cell
**ΔE_f**: -2.3 eV/f.u.
**Fermi-level density of states**: 8.53 states/eV/f.u.

# 11
Entry from Alexandria: a relaxed structure of AcAl4Pt (PBE).

```
12
Lattice="-1.179 1.549 3.886 4.369 -4.412 3.084 6.592 4.870 -2.373" Properties=species:S:1:pos:R:3 pbc="T T T"
Al 3.971 3.255 -0.093
Al -0.589 0.775 1.943
Al 5.664 1.545 1.102
Al 4.119 0.462 3.496
Al 5.812 -1.247 4.690
Al 5.615 4.479 2.348
Al 4.168 -2.471 2.249
Al 1.595 -1.431 3.485
Pt 5.953 -0.792 2.121
Pt 3.830 2.800 2.476
Ac 7.305 1.807 3.925
Ac 2.478 0.200 0.672
```

**Total magnetization**: 0.00 μB per cell
**ΔE_f**: -4.0 eV/f.u.
**Fermi-level density of states**: 1.94 states/eV/f.u.

# 12
Entry from Alexandria: a relaxed structure of Tb4Sm5Er4 (PBE).

```
13
Lattice="4.881 0.000 1.241 2.441 9.108 0.621 0.196 0.000 9.448" Properties=species:S:1:pos:R:3 pbc="T T T"
Tb 1.064 0.707 6.035
Tb 6.454 8.401 5.275
Tb 2.811 5.586 9.383
Tb 4.707 3.522 1.926
Sm 4.531 6.991 2.620
Sm 2.987 2.117 8.689
Sm 0.000 0.000 0.000
Sm 5.599 7.685 8.637
Sm 1.919 1.423 2.672
Er 1.745 4.902 3.358
Er 3.673 6.283 5.992
Er 3.845 2.825 5.317
Er 5.774 4.206 7.951
```

**Total magnetization**: 0.00 μB per cell
**ΔE_f**: 0.2 eV/f.u.
**Fermi-level density of states**: 17.59 states/eV/f.u.

# 13
Entry from Alexandria: a relaxed structure of K2ZnH4I4O14 (PBE).

```
25
Lattice="8.002 -0.084 -0.020 4.158 6.838 -0.020 4.252 2.361 6.733" Properties=species:S:1:pos:R:3 pbc="T T T"
H 8.329 2.641 3.179
H 9.768 3.440 3.514
H 7.751 5.469 2.494
H 7.673 5.425 4.199
K 7.912 0.079 -0.020
K 6.079 3.379 -0.020
O 10.323 8.121 5.261
O 12.903 5.000 5.824
O 6.708 2.641 2.846
O 12.499 6.728 3.094
O 7.454 5.911 3.346
O 14.427 7.403 5.545
O 10.624 4.816 3.846
O 8.059 5.221 0.894
O 4.062 4.644 1.432
O 7.720 5.033 5.798
O 2.502 0.781 1.147
O 4.094 2.060 3.598
O 9.316 2.560 3.346
O 5.347 0.804 0.869
Zn 6.450 7.718 3.346
I 14.336 5.876 6.573
I 12.332 4.883 3.199
I 5.749 1.227 3.493
I 3.847 0.050 0.119
```

**Total magnetization**: 0.00 μB per cell
**Electronic total energy**: -4.550 eV/atom
**Fermi-level density of states**: 0.00 states/eV/f.u.

# 14
Entry from Alexandria: a relaxed structure of Zr2V2Cu (PBE).

```
10
Lattice="6.648 0.000 0.000 0.000 6.648 0.000 0.000 0.000 3.950" Properties=species:S:1:pos:R:3 pbc="T T T"
Cu 0.000 0.000 0.000
Cu 3.324 3.324 0.000
V 0.838 2.486 0.000
V 4.162 0.838 0.000
V 2.486 5.810 0.000
V 5.810 4.162 0.000
Zr 2.157 1.167 1.975
Zr 1.167 4.491 1.975
Zr 4.491 5.481 1.975
Zr 5.481 2.157 1.975
```

**Total magnetization**: 0.00 μB per cell
**ΔE_f**: 0.9 eV/f.u.
**Fermi-level density of states**: 5.72 states/eV/f.u.

# 15
Entry from Alexandria: a relaxed structure of LaAl2Cl (PBE).

```
8
Lattice="9.067 0.000 0.000 0.000 9.067 0.000 4.534 4.534 2.742" Properties=species:S:1:pos:R:3 pbc="T T T"
La 0.000 0.000 0.000
La 9.067 4.534 1.371
Al 11.334 11.337 2.056
Al 2.264 6.801 0.685
Al 6.801 6.798 2.056
Al 6.804 2.267 0.685
Cl 4.534 4.534 0.000
Cl 4.534 9.067 1.371
```

**Total magnetization**: 0.00 μB per cell
**Fermi-level density of states**: 3.98 states/eV/f.u.
**Formation energy (no corrections)**: -0.209 eV per atom

# 16
Entry from Alexandria: a relaxed structure of U2HPt (PBE).

```
4
Lattice="2.919 0.000 0.000 1.459 2.528 0.000 1.459 0.843 8.658" Properties=species:S:1:pos:R:3 pbc="T T T"
Pt 0.000 0.000 0.000
U 4.378 2.528 2.748
U 1.459 0.843 5.910
H 2.919 1.685 4.329
```

**Total magnetization**: 0.01 μB per cell
**Electronic total energy**: -7.930 eV/atom
**Fermi-level density of states**: 8.18 states/eV/f.u.

# 17
Entry from Alexandria: a relaxed structure of DyErPtRh (PBE).

```
4
Lattice="3.760 0.000 0.000 0.000 4.325 0.000 -1.880 0.000 5.279" Properties=species:S:1:pos:R:3 pbc="T T T"
Pt 1.880 2.162 0.905
Dy 0.000 0.000 1.510
Rh 0.000 0.000 4.328
Er 1.880 2.162 3.816
```

**Total magnetization**: 0.00 μB per cell
**ΔE_f**: -4.3 eV/f.u.
**Fermi-level density of states**: 1.97 states/eV/f.u.

# 18
Entry from Alexandria: a relaxed structure of YIn2Mo (PBE).

```
8
Lattice="-3.289 -1.230 2.500 0.690 -4.107 -1.113 5.294 -3.765 8.829" Properties=species:S:1:pos:R:3 pbc="T T T"
In 1.447 -3.623 1.746
In 1.718 -7.622 7.801
In 2.974 -4.697 7.177
In -0.749 -2.262 3.709
Y 2.342 -5.270 4.205
Y -1.300 -2.668 0.693
Mo 0.353 -3.832 6.011
Mo 0.000 0.000 0.000
```

**Total magnetization**: 0.49 μB per cell
**ΔE_f**: 1.9 eV/f.u.
**Fermi-level density of states**: 5.17 states/eV/f.u.

# 19
Entry from Alexandria: a relaxed structure of Co2OsRh (PBE).

```
4
Lattice="4.192 0.000 0.000 2.096 3.630 0.000 2.096 1.210 3.424" Properties=species:S:1:pos:R:3 pbc="T T T"
Os 4.192 2.420 1.712
Co 2.096 1.210 0.855
Co 6.287 3.630 0.000
Rh 6.287 3.630 2.568
```

**Total magnetization**: 3.20 μB per cell
**ΔE_f**: 1.7 eV/f.u.
**Fermi-level density of states**: 6.00 states/eV/f.u.

# 20
Entry from Alexandria: a relaxed structure of Mg2ZnGa5 (PBE).

```
16
Lattice="-0.273 2.858 3.209 2.063 -4.039 3.773 10.787 3.475 -2.177" Properties=species:S:1:pos:R:3 pbc="T T T"
Ga 2.771 0.878 -0.546
Ga 3.667 -1.186 1.368
Ga 9.876 3.444 0.662
Ga 2.701 -1.150 4.143
Ga 8.125 0.527 3.110
Ga 4.452 1.766 1.694
Ga 0.000 0.000 0.000
Ga 9.183 0.622 0.228
Ga 10.079 -1.442 2.142
Ga 6.425 -0.282 0.798
Zn 1.031 -2.020 1.886
Zn 5.394 1.738 -1.089
Mg 10.843 1.408 2.557
Mg 5.423 -0.278 3.598
Mg 1.734 0.886 2.248
Mg 7.154 2.572 1.207
```

**Total magnetization**: 0.00 μB per cell
**ΔE_f**: -0.7 eV/f.u.
**Fermi-level density of states**: 2.02 states/eV/f.u.